(1)
LaIn6Sn: relaxed, PBE.

## Properties
total moment	0.00	μB per formula unit
DFT formation energy	-1.58	eV/f.u.

CIF file:
```
data_LaIn6Sn
_cell_length_a 7.021
_cell_length_b 11.356
_cell_length_c 5.510
_cell_angle_alpha 90.00
_cell_angle_beta 90.00
_cell_angle_gamma 90.00
_space_group_name_H-M_alt 'C m m m'
_space_group_IT_number 65
_space_group_name_Hall '-C 2 2'
loop_
_atom_site_label
_atom_site_fract_x
_atom_site_fract_y
_atom_site_fract_z
La1 0.000 0.000 0.000
In1 0.000 0.223 0.500
In2 0.213 0.500 0.500
In3 0.250 0.250 0.000
Sn1 0.000 0.500 0.000
```

=====

(2)
HfIn2Au2: relaxed, PBE.

## Properties
total moment	0.00	μB per formula unit
DFT formation energy	-0.59	eV/f.u.
excess energy over the best structure of this formula in the dataset	0	meV/atom

CIF file:
```
data_HfIn2Au2
_cell_length_a 7.579
_cell_length_b 7.579
_cell_length_c 3.722
_cell_angle_alpha 90.00
_cell_angle_beta 90.00
_cell_angle_gamma 90.00
_space_group_name_H-M_alt 'P 4/m b m'
_space_group_IT_number 127
_space_group_name_Hall '-P 4 2ab'
loop_
_atom_site_label
_atom_site_fract_x
_atom_site_fract_y
_atom_site_fract_z
Hf1 0.000 0.000 0.000
In1 0.173 0.327 0.500
Au1 0.132 0.632 0.000
```

=====

(3)
CuMoPd2: relaxed, PBE.

## Properties
total moment	0.00	μB per formula unit
DFT formation energy	-0.05	eV/f.u.
excess energy over the best structure of this formula in the dataset	76	meV/atom

CIF file:
```
data_CuMoPd2
_cell_length_a 2.7779
_cell_length_b 2.7779
_cell_length_c 26.4770
_cell_angle_alpha 90.00
_cell_angle_beta 90.00
_cell_angle_gamma 120.00
_space_group_name_H-M_alt 'R -3 m'
_space_group_IT_number 166
_space_group_name_Hall '-R 3 2"'
loop_
_atom_site_label
_atom_site_fract_x
_atom_site_fract_y
_atom_site_fract_z
Cu1 0.0000 0.0000 0.0000
Mo1 0.0000 0.0000 0.5000
Pd1 0.0000 0.0000 0.2521
```

=====

(4)
ReHgNF2: relaxed, PBE.

## Properties
total moment	0.00	μB per formula unit
excess energy over the best structure of this formula in the dataset	0	meV/atom
E_form (uncorrected)	-2.22	eV per formula unit

CIF file:
```
data_ReHgNF2
_cell_length_a 4.316
_cell_length_b 4.316
_cell_length_c 3.825
_cell_angle_alpha 90.00
_cell_angle_beta 90.00
_cell_angle_gamma 90.00
_space_group_name_H-M_alt 'P 4/m m m'
_space_group_IT_number 123
_space_group_name_Hall '-P 4 2'
loop_
_atom_site_label
_atom_site_fract_x
_atom_site_fract_y
_atom_site_fract_z
Re1 0.000 0.000 0.000
Hg1 0.500 0.500 0.500
N1 0.000 0.000 0.500
F1 0.000 0.500 0.000
```